Computed, not measured: a geometry-optimized FeTcIN2 structure at the PBE level of DFT.

Unit cell a=3.671 b=3.671 c=6.169 alpha=90.00 beta=90.00 gamma=90.00
Element x y z (fractional)
Fe (0.000, 0.000, 0.000)
Tc (0.500, 0.500, 0.500)
I (0.000, 0.000, 0.500)
N (0.000, 0.500, 0.000)
N (0.500, 0.000, 0.000)

* formation energy from raw total energies: 1.51 eV/atom
* spin magnetization: 0.404 μB/atom


Computed, not measured: a geometry-optimized CeNdCdOs structure at the PBE level of DFT.

Unit cell a=5.144 b=5.144 c=5.144 alpha=60.00 beta=60.00 gamma=60.00
Element x y z (fractional)
Ce (0.000, 0.000, 0.000)
Nd (0.500, 0.500, 0.500)
Cd (0.250, 0.250, 0.250)
Os (0.750, 0.750, 0.750)

* ΔH_f (0 K): -0.185 eV/f.u.
* spin magnetization: 0.068 μB/atom


Computed, not measured: a geometry-optimized NiIrCl structure at the PBE level of DFT.

Unit cell a=4.164 b=4.164 c=4.164 alpha=60.00 beta=60.00 gamma=60.00
Element x y z (fractional)
Ni (0.000, 0.000, 0.000)
Ir (0.250, 0.250, 0.250)
Cl (0.750, 0.750, 0.750)

* formation energy from raw total energies: 1.12 eV/atom
* spin magnetization: 0.751 μB/atom


Computed, not measured: a geometry-optimized Zr2UPa structure at the PBE level of DFT.

Unit cell a=11.158 b=11.158 c=11.158 alpha=16.22 beta=16.22 gamma=16.22
Element x y z (fractional)
Zr (0.249, 0.249, 0.249)
Zr (0.751, 0.751, 0.751)
U (0.500, 0.500, 0.500)
Pa (0.000, 0.000, 0.000)

* ΔH_f (0 K): 0.896 eV/f.u.
* spin magnetization: 0.357 μB/atom